(1)
DFT (PBE-GGA) results for an optimized crystal structure of DyTm2NpSb4.

* size of the total moment: 3.9 μB/cell
* ΔE_f (raw): -0.8562 eV per atom

Cell lengths 7.5557, 4.3646, 7.5635 Å; angles 90.00, 109.35, 90.00 degrees
With the nearest neighbours (Å) after each atom.
Space group P2/m (No. 10)
Unique sites:
Dy: 0.0000 0.0000 0.0000 x1  6 Sb 3.10
Tm: 0.5000 0.0000 0.5000 x1  6 Sb 3.07
Tm: 0.5000 0.5000 0.0000 x1  6 Sb 3.07
Np: 0.0000 0.5000 0.5000 x1  6 Sb 3.10-3.11
Sb: 0.2533 0.5000 0.2513 x2  3 Tm 3.07, 1 Np 3.10, 2 Dy 3.10
Sb: 0.2544 0.0000 0.7522 x2  3 Tm 3.07, 1 Dy 3.10, 2 Np 3.11

---

(2)
DFT (PBE-GGA) results for an optimized crystal structure of RbLa3Re.

* size of the total moment: 0.2 μB/cell
* ΔE to the lowest computed polymorph: 0.0 meV per atom
* energy of formation: 0.327 eV/atom

Cell lengths 5.8178, 5.8178, 5.8178 Å; angles 90.00, 90.00, 90.00 degrees
With the nearest neighbours (Å) after each atom.
Space group Pm-3m (No. 221)
Unique sites:
Rb: 0.0000 0.0000 0.0000 x1  12 La 4.11
La: 0.0000 0.5000 0.5000 x3  2 Re 2.91
Re: 0.5000 0.5000 0.5000 x1  6 La 2.91

---

(3)
DFT (PBE-GGA) results for an optimized crystal structure of BeZnSe2.

* size of the total moment: 0.0 μB/cell
* ΔE to the lowest computed polymorph: 11.0 meV per atom
* ΔE_f (raw): -0.7348 eV per atom

Cell lengths 3.8428, 7.7371, 5.4575 Å; angles 90.00, 90.00, 90.00 degrees
With the nearest neighbours (Å) after each atom.
Space group Pmn2_1 (No. 31)
Unique sites:
Be: 0.0000 0.1149 0.0000 x2  4 Se 2.23-2.30
Zn: 0.0000 0.6373 0.0029 x2  4 Se 2.45-2.48
Se: 0.0000 0.3589 0.7809 x2  1 Be 2.23, 3 Zn 2.45-2.47
Se: 0.0000 0.8933 0.7306 x2  3 Be 2.26-2.30, 1 Zn 2.48

---

(4)
DFT (PBE-GGA) results for an optimized crystal structure of Ga3PPt.

* size of the total moment: 0.0 μB/cell
* ΔE to the lowest computed polymorph: 317.9 meV per atom
* energy of formation: 0.426 eV/atom

Cell lengths 4.6664, 4.6664, 4.6664 Å; angles 90.00, 90.00, 90.00 degrees
With the nearest neighbours (Å) after each atom.
Space group Pm-3m (No. 221)
Unique sites:
Ga: 0.0000 0.0000 0.5000 x3  2 P 2.33
P: 0.0000 0.0000 0.0000 x1  6 Ga 2.33
Pt: 0.5000 0.5000 0.5000 x1  12 Ga 3.30

---

(5)
DFT (PBE-GGA) results for an optimized crystal structure of Pm4Y5Ho4.

* size of the total moment: 0.0 μB/cell
* energy of formation: 0.019 eV/atom

Cell lengths 12.9261, 12.9261, 5.0568 Å; angles 90.00, 90.00, 90.00 degrees
With the nearest neighbours (Å) after each atom.
Space group I4/m (No. 87)
Unique sites:
Pm: 0.0775 0.3829 0.0000 x8  4 Ho 3.56-3.58, 3 Y 3.58-3.61, 5 Pm 3.60-3.63
Y: 0.0000 0.0000 0.0000 x2  8 Y 3.57, 4 Ho 3.58
Y: 0.0390 0.1911 0.5000 x8  4 Y 3.57, 5 Ho 3.57-3.59, 3 Pm 3.58-3.61
Ho: 0.1542 0.7695 0.0000 x8  4 Pm 3.56-3.58, 6 Y 3.57-3.59, 2 Ho 3.58

---

(6)
DFT (PBE-GGA) results for an optimized crystal structure of AcTmPb2.

* size of the total moment: 0.0 μB/cell
* energy of formation: -0.319 eV/atom

Cell lengths 4.8691, 4.8691, 21.5283 Å; angles 90.00, 90.00, 120.00 degrees
With the nearest neighbours (Å) after each atom.
Space group R3m (No. 160, hexagonal axes)
Unique sites:
Ac: 0.0000 0.0000 0.0000 x3  6 Pb 3.41-3.50, 1 Tm 3.77
Tm: 0.0000 0.0000 0.8249 x3  6 Pb 3.17-3.27
Pb: 0.0000 0.0000 0.4234 x3  1 Pb 3.14, 3 Tm 3.17, 3 Ac 3.41
Pb: 0.0000 0.0000 0.5695 x3  1 Pb 3.14, 3 Tm 3.27, 3 Ac 3.50